# 1
Here is crystalline Dy7Co2Ag2 at its relaxed geometry from Alexandria. Energies are from PBE.

The symmetry is No. 44. The theoretical density is 8.9 Mg/m³. As for the energy relative to the lowest polymorph listed for this composition: 0.0 meV per atom. The formation energy comes out at -181.5 meV per atom. The value obtained for the total magnetization is 0.00 μB per atom. For the volume, the calculation gives 25.1 Å³/atom.

Unit cell a=3.650 b=9.408 c=9.408 alpha=61.21 beta=78.81 gamma=78.81
Atoms (fractional coordinates):
Dy1 0.500 0.021 0.979
Ag1 0.000 0.761 0.239
Dy2 0.372 0.725 0.531
Dy3 0.853 0.399 0.895
Dy4 0.814 0.091 0.282
Co1 0.256 0.351 0.137
Dy5 0.628 0.469 0.275
Dy6 0.147 0.105 0.601
Ag2 0.500 0.351 0.649
Dy7 0.186 0.718 0.909
Co2 0.744 0.863 0.649

# 2
Here is crystalline Dy3CoAg at its relaxed geometry from Alexandria. Energies are from PBE.

The symmetry is No. 221. The theoretical density is 8.0 Mg/m³. As for the energy relative to the lowest polymorph listed for this composition: 161.7 meV per atom. The formation energy comes out at -45.6 meV per atom. The value obtained for the total magnetization is 0.00 μB per atom. For the volume, the calculation gives 27.1 Å³/atom.

Unit cell a=5.139 b=5.139 c=5.139 alpha=90.00 beta=90.00 gamma=90.00
Atoms (fractional coordinates):
Co1 0.000 0.000 0.000
Dy1 0.500 0.000 0.000
Dy2 0.000 0.000 0.500
Ag1 0.500 0.500 0.500
Dy3 0.000 0.500 0.000

# 3
Here is crystalline Dy5CoAg4 at its relaxed geometry from Alexandria. Energies are from PBE.

The symmetry is No. 123. The theoretical density is 9.4 Mg/m³. The formation energy comes out at -279.2 meV per atom. The value obtained for the total magnetization is 0.08 μB per atom. For the volume, the calculation gives 23.0 Å³/atom.

Unit cell a=3.542 b=3.542 c=18.300 alpha=90.00 beta=90.00 gamma=90.00
Last column: magnetic moment on the atom in μB.
Atoms (fractional coordinates):
Dy1 0.500 0.500 0.912  -0.12
Dy2 0.500 0.500 0.705  0.01
Dy3 0.500 0.500 0.295  0.01
Ag1 0.000 0.000 0.398  0.00
Ag2 0.000 0.000 0.807  0.01
Ag3 0.000 0.000 0.193  0.01
Dy4 0.500 0.500 0.088  -0.12
Co1 0.000 0.000 0.000  1.04
Dy5 0.500 0.500 0.500  0.01
Ag4 0.000 0.000 0.602  0.00

# 4
Here is crystalline Dy5Co2Ag at its relaxed geometry from Alexandria. Energies are from PBE.

The symmetry is No. 140. The theoretical density is 9.1 Mg/m³. The formation energy comes out at -226.3 meV per atom. The value obtained for the total magnetization is 0.00 μB per atom. For the volume, the calculation gives 23.6 Å³/atom.

Unit cell a=7.564 b=7.564 c=8.487 alpha=116.46 beta=116.46 gamma=90.00
Atoms (fractional coordinates):
Dy1 0.473 0.294 0.267
Co1 0.636 0.136 0.000
Co2 0.364 0.864 0.000
Dy2 0.706 0.206 0.733
Dy3 0.027 0.527 0.733
Dy4 0.206 0.027 0.733
Co3 0.136 0.364 0.000
Co4 0.864 0.636 0.000
Dy5 0.000 0.000 0.000
Dy6 0.527 0.706 0.733
Ag1 0.750 0.750 0.500
Dy7 0.794 0.973 0.267
Ag2 0.250 0.250 0.500
Dy8 0.973 0.473 0.267
Dy9 0.294 0.794 0.267
Dy10 0.500 0.500 0.000

# 5
Here is crystalline Dy4CoAg at its relaxed geometry from Alexandria. Energies are from PBE.

The symmetry is No. 216. The theoretical density is 9.3 Mg/m³. As for the energy relative to the lowest polymorph listed for this composition: 0.0 meV per atom. The formation energy comes out at -234.3 meV per atom. The value obtained for the total magnetization is 0.00 μB per atom. For the volume, the calculation gives 24.4 Å³/atom.

Unit cell a=9.394 b=9.394 c=9.394 alpha=60.00 beta=60.00 gamma=60.00
Atoms (fractional coordinates):
Dy1 0.812 0.188 0.188
Dy2 0.562 0.562 0.938
Ag1 0.169 0.494 0.169
Dy3 0.402 0.402 0.794
Dy4 0.938 0.938 0.562
Dy5 0.812 0.188 0.812
Ag2 0.169 0.169 0.494
Dy6 0.188 0.812 0.188
Ag3 0.494 0.169 0.169
Dy7 0.188 0.188 0.812
Dy8 0.562 0.938 0.938
Dy9 0.794 0.402 0.402
Dy10 0.562 0.938 0.562
Dy11 0.938 0.562 0.562
Dy12 0.402 0.402 0.402
Dy13 0.812 0.812 0.188
Co1 0.609 0.609 0.174
Co2 0.609 0.609 0.609
Dy14 0.402 0.794 0.402
Co3 0.609 0.174 0.609
Co4 0.174 0.609 0.609
Dy15 0.938 0.562 0.938
Ag4 0.169 0.169 0.169
Dy16 0.188 0.812 0.812

# 6
Here is crystalline Dy3CoAg at its relaxed geometry from Alexandria. Energies are from PBE.

The symmetry is No. 12. The theoretical density is 8.9 Mg/m³. As for the energy relative to the lowest polymorph listed for this composition: 0.0 meV per atom. The formation energy comes out at -207.4 meV per atom. The value obtained for the total magnetization is 0.00 μB per atom. For the volume, the calculation gives 24.4 Å³/atom.

Unit cell a=3.740 b=8.167 c=8.206 alpha=88.20 beta=90.00 gamma=103.24
Atoms (fractional coordinates):
Co1 0.238 0.509 0.650
Dy1 0.624 0.282 0.764
Dy2 0.082 0.197 0.419
Dy3 0.267 0.568 0.008
Ag1 0.428 0.888 0.282
Dy4 0.420 0.872 0.657
Co2 0.807 0.646 0.772
Dy5 0.777 0.586 0.414
Ag2 0.616 0.265 0.139
Dy6 0.962 0.957 0.002

# 7
Here is crystalline Dy8CoAg2 at its relaxed geometry from Alexandria. Energies are from PBE.

The symmetry is No. 12. The theoretical density is 9.0 Mg/m³. As for the energy relative to the lowest polymorph listed for this composition: 0.0 meV per atom. The formation energy comes out at -119.6 meV per atom. The value obtained for the total magnetization is 0.00 μB per atom. For the volume, the calculation gives 26.5 Å³/atom.

Unit cell a=5.221 b=6.769 c=9.019 alpha=106.73 beta=106.83 gamma=90.00
Atoms (fractional coordinates):
Dy1 0.201 0.306 0.402
Dy2 0.411 0.574 0.822
Ag1 0.184 0.718 0.369
Dy3 0.656 0.966 0.312
Co1 0.500 0.000 0.000
Ag2 0.816 0.282 0.631
Dy4 0.589 0.426 0.178
Dy5 0.026 0.791 0.053
Dy6 0.344 0.034 0.688
Dy7 0.974 0.209 0.947
Dy8 0.799 0.694 0.598

# 8
Here is crystalline Dy3Co2Ag2 at its relaxed geometry from Alexandria. Energies are from PBE.

The symmetry is No. 65. The theoretical density is 9.3 Mg/m³. The formation energy comes out at -242.6 meV per atom. The value obtained for the total magnetization is 0.20 μB per atom. For the volume, the calculation gives 21.0 Å³/atom.

Unit cell a=3.781 b=3.818 c=10.345 alpha=90.00 beta=79.47 gamma=90.00
Last column: magnetic moment on the atom in μB.
Atoms (fractional coordinates):
Co1 0.721 0.500 0.559  0.86
Dy1 0.173 0.000 0.654  -0.14
Dy2 0.827 0.000 0.346  -0.14
Ag1 0.420 0.500 0.161  0.01
Ag2 0.580 0.500 0.839  0.01
Dy3 0.000 0.000 0.000  0.01
Co2 0.279 0.500 0.441  0.86

# 9
Here is crystalline Dy6CoAg2 at its relaxed geometry from Alexandria. Energies are from PBE.

The symmetry is No. 14. The theoretical density is 8.5 Mg/m³. The formation energy comes out at -145.8 meV per atom. The value obtained for the total magnetization is 0.00 μB per atom. For the volume, the calculation gives 27.1 Å³/atom.

Unit cell a=6.683 b=7.323 c=9.988 alpha=90.00 beta=87.37 gamma=90.00
Atoms (fractional coordinates):
Dy1 0.318 0.810 0.050
Ag1 0.448 0.104 0.246
Co1 0.000 0.000 0.500
Dy2 0.332 0.815 0.446
Dy3 0.182 0.310 0.450
Ag2 0.948 0.396 0.746
Dy4 0.620 0.486 0.248
Co2 0.500 0.500 0.000
Dy5 0.818 0.690 0.550
Ag3 0.052 0.604 0.254
Dy6 0.668 0.185 0.554
Dy7 0.120 0.014 0.748
Dy8 0.168 0.315 0.054
Dy9 0.380 0.514 0.752
Dy10 0.832 0.685 0.946
Dy11 0.682 0.190 0.950
Dy12 0.880 0.986 0.252
Ag4 0.552 0.896 0.754

# 10
Here is crystalline Dy7Co2Ag2 at its relaxed geometry from Alexandria. Energies are from PBE.

The symmetry is No. 65. The theoretical density is 8.5 Mg/m³. As for the energy relative to the lowest polymorph listed for this composition: 74.7 meV per atom. The formation energy comes out at -106.9 meV per atom. The value obtained for the total magnetization is 0.00 μB per atom. For the volume, the calculation gives 26.2 Å³/atom.

Unit cell a=6.635 b=6.952 c=6.635 alpha=90.00 beta=109.82 gamma=90.00
Atoms (fractional coordinates):
Ag1 0.179 0.500 0.179
Co1 0.706 0.000 0.294
Ag2 0.821 0.500 0.821
Dy1 0.000 0.753 0.500
Dy2 0.500 0.247 0.000
Dy3 0.000 0.247 0.500
Dy4 0.500 0.753 0.000
Co2 0.294 0.000 0.706
Dy5 0.000 0.000 0.000
Dy6 0.500 0.761 0.500
Dy7 0.500 0.239 0.500

# 11
Here is crystalline DyCo4Ag at its relaxed geometry from Alexandria. Energies are from PBE.

The symmetry is No. 216. The theoretical density is 9.7 Mg/m³. The formation energy comes out at -53.5 meV per atom. The value obtained for the total magnetization is 0.97 μB per atom. For the volume, the calculation gives 14.5 Å³/atom.

Unit cell a=4.969 b=4.969 c=4.969 alpha=60.00 beta=60.00 gamma=60.00
Last column: magnetic moment on the atom in μB.
Atoms (fractional coordinates):
Co1 0.126 0.625 0.625  1.57
Dy1 0.000 0.000 0.000  -0.34
Ag1 0.250 0.250 0.250  -0.01
Co2 0.625 0.625 0.126  1.57
Co3 0.625 0.625 0.625  1.57
Co4 0.625 0.126 0.625  1.57

# 12
Here is crystalline Dy2CoAg at its relaxed geometry from Alexandria. Energies are from PBE.

The symmetry is No. 123. The theoretical density is 9.5 Mg/m³. As for the energy relative to the lowest polymorph listed for this composition: 0.0 meV per atom. The formation energy comes out at -243.0 meV per atom. The value obtained for the total magnetization is 0.16 μB per atom. For the volume, the calculation gives 21.4 Å³/atom.

Unit cell a=3.372 b=3.372 c=7.522 alpha=90.00 beta=90.00 gamma=90.00
Last column: magnetic moment on the atom in μB.
Atoms (fractional coordinates):
Dy1 0.000 0.000 0.219  -0.09
Dy2 0.000 0.000 0.781  -0.09
Ag1 0.500 0.500 0.500  0.01
Co1 0.500 0.500 0.000  0.84

# 13
Here is crystalline Dy3CoAg at its relaxed geometry from Alexandria. Energies are from PBE.

The symmetry is No. 12. The theoretical density is 9.0 Mg/m³. As for the energy relative to the lowest polymorph listed for this composition: 11.4 meV per atom. The formation energy comes out at -196.0 meV per atom. The value obtained for the total magnetization is 0.00 μB per atom. For the volume, the calculation gives 24.3 Å³/atom.

Unit cell a=5.964 b=5.964 c=8.574 alpha=67.11 beta=67.11 gamma=63.53
Atoms (fractional coordinates):
Dy1 0.683 0.683 0.130
Dy2 0.317 0.317 0.870
Dy3 0.026 0.026 0.781
Co1 0.313 0.687 0.000
Ag1 0.278 0.722 0.500
Dy4 0.707 0.707 0.679
Dy5 0.293 0.293 0.321
Dy6 0.974 0.974 0.219
Ag2 0.722 0.278 0.500
Co2 0.687 0.313 0.000

# 14
Here is crystalline Dy4CoAg at its relaxed geometry from Alexandria. Energies are from PBE.

The symmetry is No. 109. The theoretical density is 7.5 Mg/m³. As for the energy relative to the lowest polymorph listed for this composition: 244.2 meV per atom. The formation energy comes out at 9.9 meV per atom. The value obtained for the total magnetization is 0.00 μB per atom. For the volume, the calculation gives 30.0 Å³/atom.

Unit cell a=7.778 b=7.778 c=7.778 alpha=106.70 beta=106.70 gamma=115.16
Atoms (fractional coordinates):
Dy1 0.181 0.974 0.207
Dy2 0.336 0.527 0.809
Co1 0.753 0.753 0.000
Ag1 0.245 0.245 0.000
Dy3 0.277 0.586 0.309
Dy4 0.277 0.968 0.691
Dy5 0.718 0.527 0.191
Dy6 0.724 0.431 0.707
Ag2 0.995 0.495 0.500
Dy7 0.767 0.974 0.793
Dy8 0.724 0.017 0.293
Co2 0.503 0.003 0.500